# PBE Mg2CdTe, optimized geometry
data_Mg2CdTe
_chemical_formula_sum 'Mg4 Cd2 Te2'
_symmetry_space_group_name_H-M 'C 1 m 1'
_symmetry_Int_Tables_number 8
_symmetry_space_group_name_Hall 'C -2y'
_cell_length_a 13.721
_cell_length_b 4.066
_cell_length_c 4.065
_cell_angle_alpha 90.00
_cell_angle_beta 107.03
_cell_angle_gamma 90.00
loop_
_atom_site_label
_atom_site_type_symbol
_atom_site_fract_x
_atom_site_fract_y
_atom_site_fract_z
Mg1 Mg 0.000 0.000 0.000
Mg2 Mg 0.171 0.500 0.666
Cd1 Cd 0.223 0.000 0.217
Te1 Te 0.447 0.000 0.448
# - energy relative to the elements, uncorrected (kJ per mole of atoms) = -26.8
# - spin magnetization (μB/atom) = 0.0000